1.
Here is a relaxed Sr2CdHg crystal from Alexandria. Energies are from PBE.

energy relative to the elements	-0.33	eV per atom

Structure (CIF):
```
data_Sr2CdHg
_symmetry_space_group_name_H-M 'I m m 2'
_symmetry_Int_Tables_number 44
_symmetry_space_group_name_Hall 'I 2 -2'
_cell_length_a 3.9355
_cell_length_b 5.6815
_cell_length_c 11.8733
_cell_angle_alpha 90.00
_cell_angle_beta 90.00
_cell_angle_gamma 90.00
loop_
_atom_site_label
_atom_site_type_symbol
_atom_site_fract_x
_atom_site_fract_y
_atom_site_fract_z
Sr1 Sr 0.0000 0.0000 0.0000
Sr2 Sr 0.0000 0.5000 0.2028
Cd1 Cd 0.0000 0.5000 0.7626
Hg1 Hg 0.0000 0.0000 0.4627
```



2.
Here is a relaxed Cu2ClF crystal from Alexandria. Energies are from PBE.

uncorrected formation energy	-596	meV/atom
offset from the most stable computed form	24	meV/atom

Structure (CIF):
```
data_Cu2ClF
_symmetry_space_group_name_H-M 'I -4 2 d'
_symmetry_Int_Tables_number 122
_symmetry_space_group_name_Hall 'I -4 2bw'
_cell_length_a 4.6521
_cell_length_b 4.6521
_cell_length_c 11.9061
_cell_angle_alpha 90.00
_cell_angle_beta 90.00
_cell_angle_gamma 90.00
loop_
_atom_site_label
_atom_site_type_symbol
_atom_site_fract_x
_atom_site_fract_y
_atom_site_fract_z
Cu1 Cu 0.2177 0.2500 0.1250
Cl1 Cl 0.0000 0.0000 0.5000
F1 F 0.0000 0.0000 0.0000
```



What are the V values for these records? In order: 265.48 257.68 Å³/cell.